A geometry-optimized LiNiSn6 structure, computed with PBE.

a = 7.030 Å, b = 7.039 Å, c = 6.242 Å
α = 55.68°, β = 69.38°, γ = 51.34°
Positions (direct):
Sn 0.767 0.066 0.437
Sn 0.767 0.503 0.563
Li 0.000 0.000 0.000
Ni 0.500 0.500 0.000
Sn 0.297 0.300 0.000
Sn 0.233 0.497 0.437
Sn 0.233 0.934 0.563
Sn 0.703 0.700 0.000

**Space-group type**: No. 12
**E_form**: -26 meV per atom
**Fermi-level density of states**: 0.475 states/eV/atom